[1]
The following is a DFT calculation (PBE-GGA) of crystalline La2TbPt at its relaxed geometry.

- E_form: -619 meV per atom
- Space-group type: No. 11
- DOS(E_F): 1.396 states/eV per atom

a = 3.925 Å, b = 10.237 Å, c = 6.368 Å
α = 90.00°, β = 107.95°, γ = 90.00°
Atoms (fractional coordinates):
La: 0.137 0.063 0.274
La: 0.137 0.437 0.274
La: 0.863 0.563 0.726
La: 0.863 0.937 0.726
Tb: 0.415 0.250 0.830
Tb: 0.585 0.750 0.170
Pt: 0.266 0.750 0.533
Pt: 0.734 0.250 0.467

---

[2]
The following is a DFT calculation (PBE-GGA) of crystalline KSn2Pb5 at its relaxed geometry.

- E_form: -35 meV per atom
- Space-group type: No. 71
- DOS(E_F): 0.488 states/eV per atom

a = 8.271 Å, b = 8.271 Å, c = 8.271 Å
α = 148.23°, β = 106.31°, γ = 82.48°
Atoms (fractional coordinates):
K: 0.000 0.000 0.000
Sn: 0.234 0.734 0.500
Sn: 0.766 0.266 0.500
Pb: 0.166 0.351 0.815
Pb: 0.463 0.649 0.815
Pb: 0.500 0.000 0.500
Pb: 0.537 0.351 0.185
Pb: 0.834 0.649 0.185

---

[3]
The following is a DFT calculation (PBE-GGA) of crystalline LaSm5Er4 at its relaxed geometry.

- E_form: 22 meV per atom
- Space-group type: No. 123
- DOS(E_F): 1.441 states/eV per atom

a = 3.602 Å, b = 3.602 Å, c = 25.284 Å
α = 90.00°, β = 90.00°, γ = 90.00°
Atoms (fractional coordinates):
La: 0.000 0.000 0.000
Sm: 0.500 0.500 0.105
Sm: 0.500 0.500 0.303
Sm: 0.500 0.500 0.500
Sm: 0.500 0.500 0.697
Sm: 0.500 0.500 0.895
Er: 0.000 0.000 0.205
Er: 0.000 0.000 0.402
Er: 0.000 0.000 0.598
Er: 0.000 0.000 0.795

---

[4]
The following is a DFT calculation (PBE-GGA) of crystalline H6Se3F2 at its relaxed geometry.

- Space-group type: No. 15
- DOS(E_F): 0.000 states/eV per atom

a = 6.503 Å, b = 6.503 Å, c = 9.669 Å
α = 96.62°, β = 96.62°, γ = 91.11°
Atoms (fractional coordinates):
H: 0.033 0.859 0.645
H: 0.141 0.967 0.855
H: 0.223 0.463 0.430
H: 0.230 0.450 0.142
H: 0.450 0.230 0.642
H: 0.463 0.223 0.930
H: 0.537 0.777 0.070
H: 0.550 0.770 0.358
H: 0.770 0.550 0.858
H: 0.777 0.537 0.570
H: 0.859 0.033 0.145
H: 0.967 0.141 0.355
Se: 0.132 0.598 0.242
Se: 0.200 0.800 0.750
Se: 0.402 0.868 0.258
Se: 0.598 0.132 0.742
Se: 0.800 0.200 0.250
Se: 0.868 0.402 0.758
F: 0.244 0.405 0.520
F: 0.405 0.244 0.020
F: 0.595 0.756 0.980
F: 0.756 0.595 0.480

---

[5]
The following is a DFT calculation (PBE-GGA) of crystalline Ag3BiF at its relaxed geometry.

- E_form (uncorrected): -0.768 eV per formula unit
- Space-group type: No. 221
- DOS(E_F): 0.374 states/eV per atom

a = 4.710 Å, b = 4.710 Å, c = 4.710 Å
α = 90.00°, β = 90.00°, γ = 90.00°
Atoms (fractional coordinates):
Ag: 0.000 0.000 0.500
Ag: 0.000 0.500 0.000
Ag: 0.500 0.000 0.000
Bi: 0.500 0.500 0.500
F: 0.000 0.000 0.000

---

[6]
The following is a DFT calculation (PBE-GGA) of crystalline Li2CrTc at its relaxed geometry.

- E_form: 359 meV per atom
- Space-group type: No. 25
- DOS(E_F): 0.633 states/eV per atom

a = 2.443 Å, b = 4.058 Å, c = 5.638 Å
α = 90.00°, β = 90.00°, γ = 90.00°
Atoms (fractional coordinates):
Li: 0.000 0.000 0.000
Li: 0.500 0.500 0.228
Cr: 0.500 0.500 0.709
Tc: 0.000 0.000 0.519

---

no.,final energy (eV/atom)
1,-5.751
2,-3.491
3,-4.655
4,-3.680
5,-3.015
6,-5.595